Density functional theory data (PBE) for a relaxed MgMnOs2 crystal.

It has space group F-43m (No. 216), with a = 6.1556 Å, b = 6.1556 Å, c = 6.1556 Å, α = 90.00°, β = 90.00° and γ = 90.00°. The distinct sites, in fractional coordinates, are Mg at (0.0000, 0.0000, 0.0000), Mn at (0.2500, 0.2500, 0.7500), Os at (0.0000, 0.0000, 0.5000) and Os at (0.2500, 0.2500, 0.2500).

The magnetization is 3.2 μB/f.u. The formation enthalpy at 0 K is 0.291 eV per atom.